DFT (PBE-GGA) results for an optimized crystal structure of Ca2YTa.

Cell: 5.7334 5.7334 5.7334 Å, 126.88 126.88 78.45°
With the nearest neighbours (Å) after each atom.
Fractional positions:
Y: 0.7500 0.2500 0.5000  4 Ta 3.39, 8 Ca 3.39-3.63
Ca: 0.0000 0.0000 0.0000  4 Y 3.39, 4 Ca 3.39, 4 Ta 3.63
Ca: 0.2500 0.7500 0.5000  4 Ca 3.39, 4 Ta 3.39, 4 Y 3.63
Ta: 0.5000 0.5000 0.0000  8 Ca 3.39-3.63, 4 Y 3.39

- Excess energy over the best structure of this formula in the dataset: 245 meV/atom
- ΔH_f (0 K): 0.6487 eV/atom
- Total magnetization: 0.52 μB per atom
- SG: I-4m2, No. 119


DFT (PBE-GGA) results for an optimized crystal structure of Ca2YTa.

Cell: 3.3095 3.3095 11.0772 Å, 90.00 90.00 90.14°
With the nearest neighbours (Å) after each atom.
Fractional positions:
Y: 0.5000 0.5000 0.7028  4 Ta 3.14-3.15, 4 Y 3.31
Ca: 0.0000 0.0000 0.9931  4 Ca 3.31
Ca: 0.5000 0.5000 0.2908  4 Ca 3.31, 4 Ta 3.40
Ta: 0.0000 0.0000 0.5133  4 Y 3.14-3.15, 4 Ta 3.31, 4 Ca 3.40

- Excess energy over the best structure of this formula in the dataset: 0 meV/atom
- ΔH_f (0 K): 0.4042 eV/atom
- Total magnetization: 0.00 μB per atom
- SG: Cmm2, No. 35